Entry 1:
# Zn2CuAg (SCAN, PBEsol geometry)
# DOS(E_F) = 1.16 states/eV per cell
data_Zn2CuAg
_space_group_name_H-M_alt 'P 1'
_space_group_IT_number 1
_space_group_name_Hall 'P 1'
_cell_length_a 2.747
_cell_length_b 2.747
_cell_length_c 8.684
_cell_angle_alpha 80.90
_cell_angle_beta 80.90
_cell_angle_gamma 60.00
loop_
_atom_site_label
_atom_site_type_symbol
_atom_site_fract_x
_atom_site_fract_y
_atom_site_fract_z
Zn1 Zn 0.745 0.745 0.766
Ag1 Ag 0.500 0.500 0.500
Zn2 Zn 0.255 0.255 0.234
Cu1 Cu 0.000 0.000 0.000

***

Entry 2:
# ZnCuAg2 (SCAN, PBEsol geometry)
# DOS(E_F) = 0.93 states/eV per cell
data_ZnCuAg2
_space_group_name_H-M_alt 'P 1'
_space_group_IT_number 1
_space_group_name_Hall 'P 1'
_cell_length_a 2.798
_cell_length_b 2.798
_cell_length_c 8.838
_cell_angle_alpha 80.89
_cell_angle_beta 80.89
_cell_angle_gamma 60.00
loop_
_atom_site_label
_atom_site_type_symbol
_atom_site_fract_x
_atom_site_fract_y
_atom_site_fract_z
Ag1 Ag 0.996 0.996 0.011
Zn1 Zn 0.245 0.245 0.266
Ag2 Ag 0.755 0.755 0.735
Cu1 Cu 0.504 0.504 0.488

***

Entry 3:
# Zn2CuAg (SCAN, PBEsol geometry)
# DOS(E_F) = 0.96 states/eV per cell
data_Zn2CuAg
_space_group_name_H-M_alt 'P 1'
_space_group_IT_number 1
_space_group_name_Hall 'P 1'
_cell_length_a 3.070
_cell_length_b 3.070
_cell_length_c 5.869
_cell_angle_alpha 90.00
_cell_angle_beta 90.00
_cell_angle_gamma 90.00
loop_
_atom_site_label
_atom_site_type_symbol
_atom_site_fract_x
_atom_site_fract_y
_atom_site_fract_z
Zn1 Zn 0.500 0.500 0.238
Cu1 Cu 0.500 0.500 0.773
Ag1 Ag 0.000 0.000 0.505
Zn2 Zn 0.000 0.000 0.984

***

Listing E_form for the structures above in their given order: -0.006 0.041 -0.003 eV/atom.